1.
Compound: La3Ce2YS6
Source: Alexandria via LeMat-Bulk
Functional: PBE
Structure: optimized geometry

a = 7.0457 Å, b = 7.0457 Å, c = 7.0784 Å
α = 99.58°, β = 99.58°, γ = 120.04°
Sites, in units of the cell vectors:
La 0.0000 0.0000 0.0000
La 0.3323 0.6677 0.0000
La 0.6677 0.3323 0.0000
Ce 0.1663 0.8337 0.5000
Ce 0.8337 0.1663 0.5000
Y 0.5000 0.5000 0.5000
S 0.0930 0.4211 0.2627
S 0.2518 0.2518 0.7387
S 0.4211 0.0930 0.2627
S 0.5789 0.9070 0.7373
S 0.7482 0.7482 0.2613
S 0.9070 0.5789 0.7373

Values from the calculation:
- final energy (eV/atom) = -6.92
- spin magnetization (μB/atom) = 0.130
- formation energy without anion corrections (eV/atom) = -2.10
- crystal system = monoclinic
- calculated density (g/cm3) = 5.7

2.
Compound: LaCe2YS4
Source: Alexandria via LeMat-Bulk
Functional: PBE
Structure: optimized geometry

a = 6.9976 Å, b = 4.0212 Å, c = 6.9993 Å
α = 90.00°, β = 109.32°, γ = 90.00°
Sites, in units of the cell vectors:
La 0.0000 0.0000 0.0000
Ce 0.0000 0.5000 0.5000
Ce 0.5000 0.0000 0.5000
Y 0.5000 0.5000 0.0000
S 0.2599 0.5000 0.2515
S 0.2606 0.0000 0.7549
S 0.7394 0.0000 0.2451
S 0.7401 0.5000 0.7485

Values from the calculation:
- final energy (eV/atom) = -7.03
- spin magnetization (μB/atom) = 0.197
- formation energy without anion corrections (eV/atom) = -2.06
- crystal system = monoclinic
- calculated density (g/cm3) = 5.7

3.
Compound: LaCe2Y3S6
Source: Alexandria via LeMat-Bulk
Functional: PBE
Structure: optimized geometry

a = 6.8835 Å, b = 6.8835 Å, c = 6.9813 Å
α = 99.49°, β = 99.49°, γ = 120.05°
Sites, in units of the cell vectors:
La 0.0000 0.0000 0.0000
Ce 0.3333 0.6667 0.0000
Ce 0.6667 0.3333 0.0000
Y 0.1640 0.8360 0.5000
Y 0.5000 0.5000 0.5000
Y 0.8360 0.1640 0.5000
S 0.0882 0.4261 0.2645
S 0.2508 0.2508 0.7381
S 0.4261 0.0882 0.2645
S 0.5739 0.9118 0.7355
S 0.7492 0.7492 0.2619
S 0.9118 0.5739 0.7355

Values from the calculation:
- final energy (eV/atom) = -7.13
- spin magnetization (μB/atom) = 0.137
- formation energy without anion corrections (eV/atom) = -2.05
- crystal system = monoclinic
- calculated density (g/cm3) = 5.4